# La5AgPb3 (GGA-PBEsol, relaxed)
# ΔE_f (eV per atom): -0.541
# M_tot (μB/f.u.): 0.003
data_La5AgPb3
_cell_length_a 9.8863
_cell_length_b 9.8863
_cell_length_c 6.9708
_cell_angle_alpha 90.00
_cell_angle_beta 90.00
_cell_angle_gamma 120.00
_symmetry_space_group_name_H-M 'P 63/m c m'
_symmetry_Int_Tables_number 193
_symmetry_space_group_name_Hall '-P 6c 2'
loop_
_atom_site_label
_atom_site_type_symbol
_atom_site_fract_x
_atom_site_fract_y
_atom_site_fract_z
La1 La 0.0000 0.2726 0.2500
La2 La 0.3333 0.6667 0.0000
Ag1 Ag 0.0000 0.0000 0.0000
Pb1 Pb 0.0000 0.3778 0.7500

# ScAsIrBr2 (GGA-PBEsol, relaxed)
# E_form (uncorrected) (eV per formula unit): 1.05
# M_tot (μB/f.u.): 0.525
data_ScAsIrBr2
_cell_length_a 5.041
_cell_length_b 5.041
_cell_length_c 4.720
_cell_angle_alpha 90.00
_cell_angle_beta 90.00
_cell_angle_gamma 90.00
_symmetry_space_group_name_H-M 'P 4/m m m'
_symmetry_Int_Tables_number 123
_symmetry_space_group_name_Hall '-P 4 2'
loop_
_atom_site_label
_atom_site_type_symbol
_atom_site_fract_x
_atom_site_fract_y
_atom_site_fract_z
Sc1 Sc 0.000 0.000 0.000
As1 As 0.500 0.500 0.000
Ir1 Ir 0.500 0.500 0.500
Br1 Br 0.000 0.500 0.500

# Sr4Ca3 (GGA-PBEsol, relaxed)
# ΔE_f (eV per atom): 0.017
# M_tot (μB/f.u.): 0.001
data_Sr4Ca3
_cell_length_a 4.568
_cell_length_b 4.568
_cell_length_c 31.036
_cell_angle_alpha 90.00
_cell_angle_beta 90.00
_cell_angle_gamma 90.00
_symmetry_space_group_name_H-M 'I 4/m m m'
_symmetry_Int_Tables_number 139
_symmetry_space_group_name_Hall '-I 4 2'
loop_
_atom_site_label
_atom_site_type_symbol
_atom_site_fract_x
_atom_site_fract_y
_atom_site_fract_z
Sr1 Sr 0.000 0.000 0.070
Sr2 Sr 0.000 0.000 0.352
Ca1 Ca 0.000 0.000 0.219
Ca2 Ca 0.000 0.000 0.500

# Mg2ZnW (GGA-PBEsol, relaxed)
# ΔE_f (eV per atom): 0.379
# M_tot (μB/f.u.): 0.000
data_Mg2ZnW
_cell_length_a 9.759
_cell_length_b 2.804
_cell_length_c 5.062
_cell_angle_alpha 90.00
_cell_angle_beta 103.48
_cell_angle_gamma 90.00
_symmetry_space_group_name_H-M 'C 1 m 1'
_symmetry_Int_Tables_number 8
loop_
_symmetry_equiv_pos_as_xyz
'x,y,z'
'x,-y,z'
'x+1/2,y+1/2,z'
'x+1/2,-y+1/2,z'
loop_
_atom_site_label
_atom_site_type_symbol
_atom_site_fract_x
_atom_site_fract_y
_atom_site_fract_z
Mg1 Mg 0.000 0.000 0.000
Mg2 Mg 0.235 0.000 0.756
Zn1 Zn 0.001 0.500 0.456
W1 W 0.258 0.500 0.275

# FeCoAg (GGA-PBEsol, relaxed)
# ΔE_f (eV per atom): 0.783
# M_tot (μB/f.u.): 4.113
data_FeCoAg
_cell_length_a 5.620
_cell_length_b 5.620
_cell_length_c 5.620
_cell_angle_alpha 90.00
_cell_angle_beta 90.00
_cell_angle_gamma 90.00
_symmetry_space_group_name_H-M 'F -4 3 m'
_symmetry_Int_Tables_number 216
_symmetry_space_group_name_Hall 'F -4 2 3'
loop_
_atom_site_label
_atom_site_type_symbol
_atom_site_fract_x
_atom_site_fract_y
_atom_site_fract_z
Fe1 Fe 0.000 0.000 0.000
Co1 Co 0.250 0.250 0.250
Ag1 Ag 0.000 0.000 0.500

# FeTc (GGA-PBEsol, relaxed)
# ΔE_f (eV per atom): 0.993
# M_tot (μB/f.u.): 0.001
data_FeTc
_cell_length_a 4.723
_cell_length_b 4.723
_cell_length_c 4.723
_cell_angle_alpha 90.00
_cell_angle_beta 90.00
_cell_angle_gamma 90.00
_symmetry_space_group_name_H-M 'F m -3 m'
_symmetry_Int_Tables_number 225
_symmetry_space_group_name_Hall '-F 4 2 3'
loop_
_atom_site_label
_atom_site_type_symbol
_atom_site_fract_x
_atom_site_fract_y
_atom_site_fract_z
Fe1 Fe 0.000 0.000 0.000
Tc1 Tc 0.000 0.000 0.500

# TaN2Cl (GGA-PBEsol, relaxed)
# E_form (uncorrected) (eV per formula unit): 4.14
# M_tot (μB/f.u.): 0.001
data_TaN2Cl
_cell_length_a 5.511
_cell_length_b 5.511
_cell_length_c 5.511
_cell_angle_alpha 90.00
_cell_angle_beta 90.00
_cell_angle_gamma 90.00
_symmetry_space_group_name_H-M 'F m -3 m'
_symmetry_Int_Tables_number 225
_symmetry_space_group_name_Hall '-F 4 2 3'
loop_
_atom_site_label
_atom_site_type_symbol
_atom_site_fract_x
_atom_site_fract_y
_atom_site_fract_z
Ta1 Ta 0.000 0.000 0.000
N1 N 0.250 0.250 0.250
Cl1 Cl 0.000 0.000 0.500

# Ca2LaMn (GGA-PBEsol, relaxed)
# ΔE_f (eV per atom): 0.280
# M_tot (μB/f.u.): 3.174
data_Ca2LaMn
_cell_length_a 3.675
_cell_length_b 3.675
_cell_length_c 9.229
_cell_angle_alpha 90.00
_cell_angle_beta 90.00
_cell_angle_gamma 90.00
_symmetry_space_group_name_H-M 'P 4 m m'
_symmetry_Int_Tables_number 99
loop_
_symmetry_equiv_pos_as_xyz
'x,y,z'
'-y,x,z'
'-x,-y,z'
'y,-x,z'
'-x,y,z'
'y,x,z'
'x,-y,z'
'-y,-x,z'
loop_
_atom_site_label
_atom_site_type_symbol
_atom_site_fract_x
_atom_site_fract_y
_atom_site_fract_z
Ca1 Ca 0.000 0.000 0.000
Ca2 Ca 0.500 0.500 0.312
La1 La 0.000 0.000 0.623
Mn1 Mn 0.500 0.500 0.798